Record 1
Here is a PBEsol-optimized structure of ZnWAu2 from Alexandria via LeMat-Bulk. Energies are from SCAN.

Geometry as POSCAR:
```
ZnWAu2
1.0
2.8275 0.0000 0.0000
1.4137 2.4487 0.0000
1.4137 0.8162 9.0890
Au W Zn
2 1 1
Cartesian
1.4137 0.8162 2.2072 Au
4.2412 2.4487 6.8818 Au
2.8275 1.6324 4.5445 W
0.0000 0.0000 0.0000 Zn
```

Values from the calculation:
ΔE_f ... 0.170 eV per atom


Record 2
Here is a PBEsol-optimized structure of TlAsRuAu2 from Alexandria via LeMat-Bulk. Energies are from SCAN.

Geometry as POSCAR:
```
TlAsRuAu2
1.0
-3.9964 -0.9825 2.2869
2.4768 -1.9969 3.4705
0.2760 4.6596 2.4842
Ru Tl Au As
1 1 2 1
Cartesian
-0.6218 0.8401 4.1208 Ru
0.1380 2.3298 1.2421 Tl
1.2384 -0.9985 1.7352 Au
-1.9982 -0.4913 1.1434 Au
0.0000 0.0000 0.0000 As
```

Values from the calculation:
ΔE_f ... 1.068 eV per atom